(1)
YPaTlO6 | PBE | relaxed

Results
total magnetic moment	0.7	μB per formula unit
formation energy without anion corrections	-21.45	eV/f.u.
total DFT energy (no corrections)	-69.525	eV for the cell shown

Cell lengths 4.8588, 5.7021, 5.7021 Å; angles 120.00, 90.00, 90.00 degrees
With the nearest neighbours (Å) after each atom.
Atoms (fractional coordinates):
O: 0.7480 0.0158 0.3498  1 Pa 2.18, 1 Y 2.29, 1 Tl 2.29
O: 0.2520 0.6502 0.9842  1 Pa 2.18, 1 Y 2.29, 1 Tl 2.29
O: 0.2520 0.0158 0.6660  1 Pa 2.18, 1 Y 2.29, 1 Tl 2.29
O: 0.7480 0.3340 0.9842  1 Pa 2.18, 1 Y 2.29, 1 Tl 2.29
O: 0.7480 0.6502 0.6660  1 Pa 2.18, 1 Y 2.29, 1 Tl 2.29
O: 0.2520 0.3340 0.3498  1 Pa 2.18, 1 Y 2.29, 1 Tl 2.29
Pa: 0.0000 0.3333 0.6667  6 O 2.18
Y: 0.5000 0.6667 0.3333  6 O 2.29
Tl: 0.5000 0.0000 0.0000  6 O 2.29



(2)
YNiP2Cl | PBE | relaxed

Results
total magnetic moment	0.0	μB per formula unit
energy above the most stable polymorph in this dataset	0	meV/atom
formation energy without anion corrections	-2.02	eV/f.u.
total DFT energy (no corrections)	-26.928	eV for the cell shown

Cell lengths 4.4225, 4.4225, 4.7686 Å; angles 90.00, 90.00, 90.00 degrees
With the nearest neighbours (Å) after each atom.
Atoms (fractional coordinates):
Cl: 0.0000 0.0000 0.5000  2 Ni 2.38
Ni: 0.0000 0.0000 0.0000  4 P 2.21, 2 Cl 2.38
P: 0.0000 0.5000 0.0000  2 Ni 2.21
P: 0.5000 0.0000 0.0000  2 Ni 2.21
Y: 0.5000 0.5000 0.5000  4 Cl 3.13, 8 P 3.25



(3)
CeTmBeGa | PBE | relaxed

Results
total magnetic moment	0.2	μB per formula unit
energy of formation from the pure elements	-0.190	eV/atom
total DFT energy (no corrections)	-17.917	eV for the cell shown

Cell lengths 4.9389, 4.9389, 4.9389 Å; angles 60.00, 60.00, 60.00 degrees
With the nearest neighbours (Å) after each atom.
Atoms (fractional coordinates):
Be: 0.7500 0.7500 0.7500  4 Ce 3.02, 4 Tm 3.02
Tm: 0.5000 0.5000 0.5000  4 Ga 3.02, 4 Be 3.02
Ce: 0.0000 0.0000 0.0000  4 Be 3.02, 4 Ga 3.02
Ga: 0.2500 0.2500 0.2500  4 Ce 3.02, 4 Tm 3.02



(4)
AgPS2N | PBE | relaxed

Results
total magnetic moment	0.0	μB per formula unit
energy above the most stable polymorph in this dataset	0	meV/atom
formation energy without anion corrections	2.84	eV/f.u.
total DFT energy (no corrections)	-22.000	eV for the cell shown

Cell lengths 4.8362, 4.8362, 3.2033 Å; angles 90.00, 90.00, 90.00 degrees
With the nearest neighbours (Å) after each atom.
Atoms (fractional coordinates):
S: 0.0000 0.5000 0.0000  2 P 2.42
S: 0.5000 0.0000 0.0000  2 P 2.42
P: 0.0000 0.0000 0.0000  2 N 1.60
N: 0.0000 0.0000 0.5000  2 P 1.60
Ag: 0.5000 0.5000 0.5000  8 S 2.90, 2 Ag 3.20



(5)
KCu2H | PBE | relaxed

Results
total magnetic moment	0.0	μB per formula unit
energy above the most stable polymorph in this dataset	828	meV/atom
total DFT energy (no corrections)	-7.905	eV for the cell shown

Cell lengths 4.7313, 4.7313, 4.7313 Å; angles 60.00, 60.00, 60.00 degrees
With the nearest neighbours (Å) after each atom.
Atoms (fractional coordinates):
Cu: 0.2500 0.2500 0.2500  4 K 2.90, 4 H 2.90
Cu: 0.7500 0.7500 0.7500  4 K 2.90, 4 H 2.90
H: 0.0000 0.0000 0.0000  8 Cu 2.90
K: 0.5000 0.5000 0.5000  8 Cu 2.90



(6)
Ho2TcC2 | PBE | relaxed

Results
total magnetic moment	0.0	μB per formula unit
energy above the most stable polymorph in this dataset	0	meV/atom
energy of formation from the pure elements	-0.409	eV/atom
total DFT energy (no corrections)	-160.063	eV for the cell shown

Cell lengths 5.0781, 6.5464, 9.8390 Å; angles 90.00, 90.00, 90.00 degrees
With the nearest neighbours (Å) after each atom.
Atoms (fractional coordinates):
C: 0.2500 0.6781 0.5496  1 Tc 1.93
C: 0.7500 0.8219 0.0496  1 Tc 1.93
C: 0.7500 0.9503 0.7414  2 Tc 1.96-2.05
C: 0.2500 0.5497 0.2414  2 Tc 1.96-2.05
C: 0.7500 0.4503 0.7586  2 Tc 1.96-2.05
C: 0.2500 0.0497 0.2586  2 Tc 1.96-2.05
C: 0.7500 0.3219 0.4504  1 Tc 1.93
C: 0.2500 0.1781 0.9504  1 Tc 1.93
Ho: 0.2500 0.4668 0.7838  4 C 2.50-2.69
Ho: 0.2500 0.8231 0.0573  5 C 2.47-2.55
Ho: 0.7500 0.5332 0.2162  4 C 2.50-2.69
Ho: 0.7500 0.0332 0.2838  4 C 2.50-2.69
Ho: 0.7500 0.1769 0.9427  5 C 2.47-2.55
Ho: 0.2500 0.9668 0.7162  4 C 2.50-2.69
Ho: 0.2500 0.3231 0.4427  5 C 2.47-2.55
Ho: 0.7500 0.6769 0.5573  5 C 2.47-2.55
Tc: 0.7500 0.7177 0.8665  3 C 1.93-2.05
Tc: 0.2500 0.2823 0.1335  3 C 1.93-2.05
Tc: 0.2500 0.7823 0.3665  3 C 1.93-2.05
Tc: 0.7500 0.2177 0.6335  3 C 1.93-2.05